Run 1
Compound: MgIn2Br
Source: the Alexandria database
Functional: PBE
Structure: optimized geometry

Cell and atoms, written as CIF:
```
data_MgIn2Br
_cell_length_a 7.5331
_cell_length_b 8.3836
_cell_length_c 3.4533
_cell_angle_alpha 90.00
_cell_angle_beta 90.00
_cell_angle_gamma 90.00
_symmetry_space_group_name_H-M 'C m m m'
_symmetry_Int_Tables_number 65
_symmetry_space_group_name_Hall '-C 2 2'
loop_
_atom_site_label
_atom_site_fract_x
_atom_site_fract_y
_atom_site_fract_z
Mg1 0.0000 0.0000 0.0000
In1 0.2500 0.2500 0.5000
Br1 0.0000 0.5000 0.0000
```

Results
M_tot	0.0	μB/f.u.

Run 2
Compound: MgIn2Br
Source: the Alexandria database
Functional: PBE
Structure: optimized geometry

Cell and atoms, written as CIF:
```
data_MgIn2Br
_cell_length_a 4.5601
_cell_length_b 4.5601
_cell_length_c 10.9697
_cell_angle_alpha 90.00
_cell_angle_beta 90.00
_cell_angle_gamma 90.00
_symmetry_space_group_name_H-M 'I -4 m 2'
_symmetry_Int_Tables_number 119
_symmetry_space_group_name_Hall 'I -4 -2'
loop_
_atom_site_label
_atom_site_fract_x
_atom_site_fract_y
_atom_site_fract_z
Mg1 0.0000 0.0000 0.0000
In1 0.0000 0.0000 0.5000
In2 0.0000 0.5000 0.2500
Br1 0.0000 0.5000 0.7500
```

Results
M_tot	0.0	μB/f.u.

Run 3
Compound: MgIn2Br
Source: the Alexandria database
Functional: PBE
Structure: optimized geometry

Cell and atoms, written as CIF:
```
data_MgIn2Br
_cell_length_a 3.6051
_cell_length_b 3.6051
_cell_length_c 29.2321
_cell_angle_alpha 90.00
_cell_angle_beta 90.00
_cell_angle_gamma 120.00
_symmetry_space_group_name_H-M 'R -3 m'
_symmetry_Int_Tables_number 166
_symmetry_space_group_name_Hall '-R 3 2"'
loop_
_atom_site_label
_atom_site_fract_x
_atom_site_fract_y
_atom_site_fract_z
Mg1 0.0000 0.0000 0.0000
In1 0.0000 0.0000 0.2481
Br1 0.0000 0.0000 0.5000
```

Results
M_tot	0.0	μB/f.u.

Run 4
Compound: MgIn2Br
Source: the Alexandria database
Functional: PBE
Structure: optimized geometry

Cell and atoms, written as CIF:
```
data_MgIn2Br
_cell_length_a 12.0072
_cell_length_b 3.4105
_cell_length_c 6.4373
_cell_angle_alpha 90.00
_cell_angle_beta 122.33
_cell_angle_gamma 90.00
_symmetry_space_group_name_H-M 'C 1 m 1'
_symmetry_Int_Tables_number 8
loop_
_symmetry_equiv_pos_as_xyz
'x,y,z'
'x,-y,z'
'x+1/2,y+1/2,z'
'x+1/2,-y+1/2,z'
loop_
_atom_site_label
_atom_site_fract_x
_atom_site_fract_y
_atom_site_fract_z
Mg1 0.0000 0.0000 0.0000
In1 0.2633 0.0000 0.5748
In2 0.4335 0.0000 0.3280
Br1 0.1410 0.5000 0.9151
```

Results
M_tot	0.0	μB/f.u.

Relative calculated energies, zero for the most stable structure, unit kJ/mol of atoms: run 1 8.3; run 2 14.0; run 3 10.4; run 4 0.0.